Record 1
Computed, not measured: HgCl3 after structural relaxation at the PBE level of DFT.

Cell: 6.5188 6.5188 6.5188 Å, 146.12 130.69 61.18°
Closest atoms and distances in Å follow each position.
Atoms (fractional coordinates):
Hg1 0.0000 0.0000 0.0000  4 Cl 2.61
Cl1 0.1600 0.6600 0.5000  2 Hg 2.61
Cl2 0.5000 0.5000 0.0000  4 Cl 3.26, 4 Hg 3.32
Cl3 0.8400 0.3400 0.5000  2 Hg 2.61

Output
**Space group**: Immm (71)
**Formation energy from raw total energies**: -0.4 eV per formula unit

---

Record 2
Computed, not measured: Hg2Cl after structural relaxation at the PBE level of DFT.

Cell: 6.3192 6.3192 7.7023 Å, 115.70 115.70 42.22°
Closest atoms and distances in Å follow each position.
Atoms (fractional coordinates):
Hg1 0.0678 0.0678 0.3986  2 Hg 2.71
Hg2 0.2231 0.2231 0.2270  1 Cl 2.59, 1 Hg 2.71
Hg3 0.7769 0.7769 0.7730  1 Cl 2.59, 1 Hg 2.71
Hg4 0.9322 0.9322 0.6014  2 Hg 2.71
Cl1 0.3954 0.3954 0.1074  1 Hg 2.59
Cl2 0.6046 0.6046 0.8926  1 Hg 2.59

Output
**Space group**: C2/m (12)
**Formation energy from raw total energies**: -1.0 eV per formula unit

---

Record 3
Computed, not measured: HgCl2 after structural relaxation at the PBE level of DFT.

Cell: 4.1315 4.1361 6.1391 Å, 84.09 83.75 72.93°
Closest atoms and distances in Å follow each position.
Atoms (fractional coordinates):
Hg1 0.0000 0.0000 0.0000  2 Cl 2.35
Cl1 0.3067 0.3030 0.7591  1 Hg 2.35
Cl2 0.6933 0.6970 0.2409  1 Hg 2.35

Output
**Space group**: P-1 (2)
**Formation energy from raw total energies**: -1.8 eV per formula unit

---

Record 4
Computed, not measured: HgCl3 after structural relaxation at the PBE level of DFT.

Cell: 4.9961 4.9961 4.9961 Å, 60.00 60.00 60.00°
Closest atoms and distances in Å follow each position.
Atoms (fractional coordinates):
Hg1 0.0000 0.0000 0.0000  8 Cl 3.06
Cl1 0.2500 0.2500 0.2500  4 Cl 3.06, 4 Hg 3.06
Cl2 0.5000 0.5000 0.5000  8 Cl 3.06
Cl3 0.7500 0.7500 0.7500  4 Hg 3.06, 4 Cl 3.06

Output
**Space group**: Fm-3m (225)
**Formation energy from raw total energies**: 0.8 eV per formula unit